Record 1
NbCr3H: optimized geometry, PBE-GGA.

Properties
Symmetry   Pm-3m (221)
Calculated total energy   -8.18 eV/atom

a = 3.8332 Å, b = 3.8332 Å, c = 3.8332 Å
α = 90.00°, β = 90.00°, γ = 90.00°
Fractional coordinates of all 5 atoms:
H1 0.0000 0.0000 0.0000
Cr1 0.0000 0.5000 0.0000
Cr2 0.0000 0.0000 0.5000
Cr3 0.5000 0.0000 0.0000
Nb1 0.5000 0.5000 0.5000

=====

Record 2
Nb2CrH2: optimized geometry, PBE-GGA.

Properties
Symmetry   I4/mmm (139)
Calculated total energy   -7.41 eV/atom

a = 3.1062 Å, b = 3.1062 Å, c = 6.0385 Å
α = 75.10°, β = 75.10°, γ = 90.00°
Fractional coordinates of all 5 atoms:
Nb1 0.6361 0.6361 0.7278
Nb2 0.3639 0.3639 0.2722
H1 0.2500 0.7500 0.5000
H2 0.7500 0.2500 0.5000
Cr1 0.0000 0.0000 0.0000

=====

Record 3
NbCrH2: optimized geometry, PBE-GGA.

Properties
Symmetry   Fm-3m (225)
Calculated total energy   -6.14 eV/atom

a = 3.7076 Å, b = 3.7076 Å, c = 3.7076 Å
α = 60.00°, β = 60.00°, γ = 60.00°
Site moments in Bohr magnetons follow the coordinates.
Fractional coordinates of all 4 atoms:
H1 0.2500 0.2500 0.2500  0.00
H2 0.7500 0.7500 0.7500  0.00
Cr1 0.0000 0.0000 0.0000  1.67
Nb1 0.5000 0.5000 0.5000  -0.27

=====

Record 4
NbCr3H: optimized geometry, PBE-GGA.

Properties
Symmetry   Pm-3m (221)
Calculated total energy   -6.38 eV/atom

a = 4.8209 Å, b = 4.8209 Å, c = 4.8209 Å
α = 90.00°, β = 90.00°, γ = 90.00°
Site moments in Bohr magnetons follow the coordinates.
Fractional coordinates of all 5 atoms:
Cr1 0.0000 0.0000 0.5000  2.95
Cr2 0.0000 0.5000 0.0000  3.26
Cr3 0.5000 0.0000 0.0000  3.68
Nb1 0.0000 0.0000 0.0000  -0.96
H1 0.5000 0.5000 0.5000  -0.16

=====

Record 5
NbCrH2: optimized geometry, PBE-GGA.

Properties
Symmetry   I-42d (122)
Calculated total energy   -6.55 eV/atom

a = 4.0241 Å, b = 4.0241 Å, c = 5.3345 Å
α = 67.84°, β = 67.84°, γ = 90.00°
Fractional coordinates of all 8 atoms:
Cr1 0.5000 0.5000 0.0000
Cr2 0.2500 0.7500 0.5000
H1 0.8750 0.8287 0.7500
H2 0.3750 0.4213 0.7500
H3 0.1713 0.6250 0.2500
H4 0.5787 0.1250 0.2500
Nb1 0.7500 0.2500 0.5000
Nb2 0.0000 0.0000 0.0000

=====

Record 6
NbCr2H: optimized geometry, PBE-GGA.

Properties
Symmetry   Fm-3m (225)
Calculated total energy   -7.20 eV/atom

a = 4.1968 Å, b = 4.1968 Å, c = 4.1968 Å
α = 60.00°, β = 60.00°, γ = 60.00°
Site moments in Bohr magnetons follow the coordinates.
Fractional coordinates of all 4 atoms:
Cr1 0.7500 0.7500 0.7500  2.28
Cr2 0.2500 0.2500 0.2500  2.28
H1 0.0000 0.0000 0.0000  -0.01
Nb1 0.5000 0.5000 0.5000  -0.62

=====

Record 7
NbCr2H: optimized geometry, PBE-GGA.

Properties
Symmetry   Fd-3m (227)
Calculated total energy   -7.97 eV/atom

a = 5.0930 Å, b = 5.0930 Å, c = 5.0945 Å
α = 60.01°, β = 60.01°, γ = 90.00°
Site moments in Bohr magnetons follow the coordinates.
Fractional coordinates of all 8 atoms:
Cr1 0.3752 0.1250 0.2500  0.53
Cr2 0.3750 0.6248 0.7500  0.54
Cr3 0.8750 0.6252 0.7500  0.55
Cr4 0.3748 0.6250 0.2500  0.54
Nb1 0.7500 0.2500 0.5000  0.01
Nb2 0.0000 0.0000 0.0000  0.01
H1 0.2500 0.7500 0.5000  0.00
H2 0.5000 0.5000 0.0000  0.00

=====

Record 8
Nb5Cr3H12: optimized geometry, PBE-GGA.

Properties
Symmetry   Ia-3d (230)
Calculated total energy   -5.98 eV/atom

a = 9.5218 Å, b = 9.5218 Å, c = 9.5218 Å
α = 109.47°, β = 109.47°, γ = 109.47°
Site moments in Bohr magnetons follow the coordinates.
Fractional coordinates of all 80 atoms:
Nb1 0.0000 0.5000 0.5000  0.15
Nb2 0.8750 0.6250 0.7500  -0.09
Nb3 0.7500 0.6250 0.3750  -0.09
Nb4 0.0000 0.0000 0.5000  0.15
Nb5 0.0000 0.0000 0.0000  0.15
Nb6 0.3750 0.1250 0.7500  -0.09
Nb7 0.7500 0.1250 0.8750  -0.09
Nb8 0.0000 0.5000 0.0000  0.15
Nb9 0.6250 0.8750 0.2500  -0.09
Nb10 0.5000 0.5000 0.0000  0.15
Nb11 0.6250 0.7500 0.8750  -0.09
Nb12 0.3750 0.2500 0.1250  -0.09
Nb13 0.2500 0.3750 0.6250  -0.09
Nb14 0.5000 0.0000 0.0000  0.15
Nb15 0.5000 0.0000 0.5000  0.15
Nb16 0.2500 0.8750 0.1250  -0.09
Nb17 0.1250 0.3750 0.2500  -0.09
Nb18 0.5000 0.5000 0.5000  0.15
Nb19 0.8750 0.2500 0.6250  -0.09
Nb20 0.1250 0.7500 0.3750  -0.09
H1 0.8408 0.2678 0.4230  -0.01
H2 0.6592 0.5821 0.9270  -0.01
H3 0.0730 0.1551 0.2322  -0.01
H4 0.7322 0.5730 0.1551  -0.01
H5 0.6551 0.2322 0.5730  -0.01
H6 0.0821 0.9270 0.1592  -0.01
H7 0.5770 0.2322 0.1592  -0.01
H8 0.2322 0.5770 0.6592  -0.01
H9 0.5770 0.3449 0.9179  -0.01
H10 0.9230 0.5821 0.1551  -0.01
H11 0.1551 0.0821 0.9230  -0.01
H12 0.0730 0.9179 0.3408  -0.01
H13 0.3449 0.5770 0.4179  -0.01
H14 0.5730 0.7322 0.6551  -0.01
H15 0.8449 0.9270 0.2678  -0.01
H16 0.7678 0.3449 0.9270  -0.01
H17 0.4179 0.0770 0.3449  -0.01
H18 0.6592 0.0770 0.2322  -0.01
H19 0.3408 0.4179 0.0730  -0.01
H20 0.3408 0.9230 0.7678  -0.01
H21 0.8449 0.9179 0.0770  -0.01
H22 0.9270 0.8449 0.7678  -0.01
H23 0.3449 0.7678 0.4270  -0.01
H24 0.9179 0.0730 0.8408  -0.01
H25 0.6551 0.4230 0.5821  -0.01
H26 0.7322 0.1592 0.0770  -0.01
H27 0.9179 0.8449 0.5770  -0.01
H28 0.5821 0.6592 0.4270  -0.01
H29 0.4230 0.7678 0.8408  -0.01
H30 0.1551 0.0730 0.7322  -0.01
H31 0.4270 0.1592 0.5821  -0.01
H32 0.0821 0.1551 0.4230  -0.01
H33 0.2322 0.6551 0.0730  -0.01
H34 0.2678 0.4270 0.8449  -0.01
H35 0.5730 0.8408 0.4179  -0.01
H36 0.1592 0.4270 0.0821  -0.01
H37 0.1592 0.7322 0.5770  -0.01
H38 0.4270 0.2678 0.3449  -0.01
H39 0.9230 0.3408 0.2678  -0.01
H40 0.2678 0.8408 0.9230  -0.01
H41 0.0770 0.6592 0.7322  -0.01
H42 0.8408 0.5730 0.9179  -0.01
H43 0.0770 0.4179 0.8449  -0.01
H44 0.9270 0.0821 0.6592  -0.01
H45 0.4179 0.3408 0.5730  -0.01
H46 0.5821 0.9230 0.6551  -0.01
H47 0.4230 0.6551 0.0821  -0.01
H48 0.7678 0.4230 0.3408  -0.01
Cr1 0.7500 0.8750 0.6250  2.23
Cr2 0.2500 0.1250 0.3750  2.23
Cr3 0.8750 0.7500 0.1250  2.23
Cr4 0.8750 0.1250 0.2500  2.23
Cr5 0.7500 0.3750 0.1250  2.23
Cr6 0.1250 0.8750 0.7500  2.23
Cr7 0.6250 0.2500 0.3750  2.23
Cr8 0.3750 0.6250 0.2500  2.23
Cr9 0.3750 0.7500 0.6250  2.23
Cr10 0.2500 0.6250 0.8750  2.23
Cr11 0.1250 0.2500 0.8750  2.23
Cr12 0.6250 0.3750 0.7500  2.23

=====

Record 9
Nb2CrNiH: optimized geometry, PBE-GGA.

Properties
Symmetry   P4/mmm (123)
Calculated total energy   -7.79 eV/atom

a = 4.2017 Å, b = 4.2017 Å, c = 3.4973 Å
α = 90.00°, β = 90.00°, γ = 90.00°
Fractional coordinates of all 5 atoms:
Nb1 0.5000 0.0000 0.0000
Nb2 0.0000 0.5000 0.0000
Ni1 0.5000 0.5000 0.5000
Cr1 0.0000 0.0000 0.5000
H1 0.0000 0.0000 0.0000